Material: Nd2ZnCdAs2O2
Method: DFT, GGA-PBE
State: relaxed

abc: 4.1213 4.1213 9.0617
angles: 90.00 90.00 90.00
Closest atoms and distances in Å follow each position.
Space group P-4m2 (No. 115)
One atom of each set of equivalent atoms:
Nd: 0.0000 0.5000 0.1264 (multiplicity 2)  4 O 2.36
Zn: 0.5000 0.5000 0.5000 (multiplicity 1)  4 As 2.68, 4 Cd 2.91
Cd: 0.0000 0.0000 0.5000 (multiplicity 1)  4 As 2.68, 4 Zn 2.91
As: 0.0000 0.5000 0.6892 (multiplicity 2)  2 Cd 2.68, 2 Zn 2.68
O: 0.0000 0.0000 0.0000 (multiplicity 1)  4 Nd 2.36
O: 0.5000 0.5000 0.0000 (multiplicity 1)  4 Nd 2.36

Output
The electronic total energy comes out at -44.8 eV/f.u.

=====

Material: SrCd2Ni2
Method: DFT, GGA-PBE
State: relaxed

abc: 4.3422 4.3422 11.1405
angles: 90.00 90.00 90.00
Closest atoms and distances in Å follow each position.
Space group I4/mmm (No. 139)
One atom of each set of equivalent atoms:
Sr: 0.0000 0.0000 0.0000 (multiplicity 2)  8 Ni 3.28, 8 Cd 3.53
Cd: 0.0000 0.5000 0.2500 (multiplicity 4)  4 Ni 2.72
Ni: 0.0000 0.0000 0.3966 (multiplicity 4)  1 Ni 2.30

Output
The electronic total energy comes out at -15.1 eV/f.u.

=====

Material: RbMg3Pt
Method: DFT, GGA-PBE
State: relaxed

abc: 12.7453 7.3637 7.3640
angles: 90.00 125.21 90.00
Closest atoms and distances in Å follow each position.
Space group C2/m (No. 12)
One atom of each set of equivalent atoms:
Rb: 0.2482 0.0000 0.2500 (multiplicity 4)  12 Mg 3.67-3.69
Mg: 0.0008 0.2513 0.7495 (multiplicity 8)  2 Pt 2.60
Mg: 0.2500 0.0000 0.7513 (multiplicity 4)  2 Pt 2.60
Pt: 0.0000 0.0000 0.5000 (multiplicity 2)  6 Mg 2.60
Pt: 0.0000 0.5000 0.0000 (multiplicity 2)  6 Mg 2.60

Output
The electronic total energy comes out at -13.2 eV/f.u.

=====

Material: Cu3Ag
Method: DFT, GGA-PBE
State: relaxed

abc: 8.3865 3.7541 7.5613
angles: 90.00 116.45 90.00
Closest atoms and distances in Å follow each position.
Space group C2/m (No. 12)
One atom of each set of equivalent atoms:
Cu: 0.0000 0.0000 0.0000 (multiplicity 2)  6 Ag 2.65-2.71, 6 Cu 2.73-2.74
Cu: 0.0000 0.0000 0.5000 (multiplicity 2)  10 Cu 2.58-2.67, 2 Ag 2.63
Cu: 0.0057 0.5000 0.2666 (multiplicity 4)  8 Cu 2.52-2.74, 3 Ag 2.64-2.69
Cu: 0.2481 0.0000 0.3858 (multiplicity 4)  10 Cu 2.52-2.73, 2 Ag 2.67
Ag: 0.2489 0.5000 0.1343 (multiplicity 4)  10 Cu 2.63-2.83, 2 Ag 2.77

Output
The value obtained for the formation energy is 0.0772 eV/atom. The electronic total energy comes out at -13.7 eV/f.u.

=====

Material: CuAg7
Method: DFT, GGA-PBE
State: relaxed

abc: 5.8043 8.2050 5.8178
angles: 90.00 90.00 90.00
Closest atoms and distances in Å follow each position.
Space group Cmmm (No. 65)
One atom of each set of equivalent atoms:
Cu: 0.0000 0.0000 0.0000 (multiplicity 2)  12 Ag 2.89-2.91
Ag: 0.0000 0.0000 0.5000 (multiplicity 2)  10 Ag 2.90-2.92, 2 Cu 2.91
Ag: 0.0000 0.5000 0.0000 (multiplicity 2)  10 Ag 2.89-2.91, 2 Cu 2.90
Ag: 0.0000 0.5000 0.5000 (multiplicity 2)  12 Ag 2.90-2.92
Ag: 0.2500 0.2500 0.2458 (multiplicity 8)  10 Ag 2.86-2.96, 2 Cu 2.89

Output
The value obtained for the formation energy is 0.0402 eV/atom. The electronic total energy comes out at -23.2 eV/f.u.

=====

Material: AgOsBr6
Method: DFT, GGA-PBE
State: relaxed

abc: 6.6420 6.6420 18.0760
angles: 90.00 90.00 120.00
Closest atoms and distances in Å follow each position.
Space group R-3 (No. 148, hexagonal axes)
One atom of each set of equivalent atoms:
Ag: 0.0000 0.0000 0.0000 (multiplicity 3)  6 Br 2.87
Os: 0.0000 0.0000 0.5000 (multiplicity 3)  6 Br 2.49
Br: 0.0156 0.7011 0.4214 (multiplicity 18)  1 Os 2.49

Output
The electronic total energy comes out at -25.2 eV/f.u.

=====

Material: FeB2Ir
Method: DFT, GGA-PBE
State: relaxed

abc: 5.4458 5.4458 5.4458
angles: 90.00 90.00 90.00
Closest atoms and distances in Å follow each position.
Space group F-43m (No. 216)
One atom of each set of equivalent atoms:
Fe: 0.0000 0.0000 0.0000 (multiplicity 4)  4 Ir 2.36, 4 B 2.36
B: 0.0000 0.0000 0.5000 (multiplicity 4)  4 B 2.36, 4 Ir 2.36
B: 0.2500 0.2500 0.2500 (multiplicity 4)  4 Fe 2.36, 4 B 2.36
Ir: 0.2500 0.2500 0.7500 (multiplicity 4)  4 Fe 2.36, 4 B 2.36

Output
The electronic total energy comes out at -26.8 eV/f.u.

=====

Material: PmAsN2O
Method: DFT, GGA-PBE
State: relaxed

abc: 5.3781 8.0175 5.3537
angles: 90.00 90.00 90.00
Closest atoms and distances in Å follow each position.
Space group Pnma (No. 62)
One atom of each set of equivalent atoms:
Pm: 0.0459 0.2500 0.0123 (multiplicity 4)  2 O 2.38-2.47, 4 N 2.42-2.63
As: 0.0000 0.0000 0.5000 (multiplicity 4)  4 N 1.94-1.95, 2 O 2.04
N: 0.2075 0.5370 0.7914 (multiplicity 8)  2 As 1.94-1.95
O: 0.0019 0.7500 0.4289 (multiplicity 4)  2 As 2.04

Output
The electronic total energy comes out at -34.9 eV/f.u.

=====

Material: PrHo2Mg3Ir3
Method: DFT, GGA-PBE
State: relaxed

abc: 4.0875 12.6830 7.2918
angles: 90.00 90.00 90.00
Closest atoms and distances in Å follow each position.
Space group Amm2 (No. 38)
One atom of each set of equivalent atoms:
Pr: 0.0000 0.0000 0.0000 (multiplicity 2)  5 Ir 3.05-3.06, 6 Mg 3.24-3.35
Ho: 0.0000 0.2040 0.6171 (multiplicity 4)  5 Ir 2.96-2.99, 6 Mg 3.26-3.31
Mg: 0.5000 0.0000 0.6557 (multiplicity 2)  4 Ir 2.67-2.87
Mg: 0.5000 0.1230 0.2936 (multiplicity 4)  4 Ir 2.73-2.85
Ir: 0.0000 0.0000 0.4201 (multiplicity 2)  6 Mg 2.67-2.73, 2 Ho 2.96
Ir: 0.5000 0.1717 0.9120 (multiplicity 4)  3 Mg 2.74-2.87, 4 Ho 2.98-2.99, 2 Pr 3.05

Output
The electronic total energy comes out at -51.0 eV/f.u.

=====

Material: DyMgCdP2
Method: DFT, GGA-PBE
State: relaxed

abc: 4.2310 4.2310 6.7993
angles: 90.00 90.00 120.00
Closest atoms and distances in Å follow each position.
Space group P3m1 (No. 156)
One atom of each set of equivalent atoms:
Dy: 0.0000 0.0000 0.0000 (multiplicity 1)  6 P 2.91-2.96
Mg: 0.3333 0.6667 0.3574 (multiplicity 1)  4 P 2.59-2.70
Cd: 0.6667 0.3333 0.6358 (multiplicity 1)  4 P 2.57-2.75
P: 0.3333 0.6667 0.7550 (multiplicity 1)  3 Cd 2.57, 1 Mg 2.70
P: 0.6667 0.3333 0.2321 (multiplicity 1)  3 Mg 2.59, 1 Cd 2.75

Output
The electronic total energy comes out at -21.4 eV/f.u.